Record 1
Below is crystalline Gd2ErMn at its relaxed geometry, with properties calculated at the PBE level.

a b c (Å): 3.525 3.525 8.725
angles (deg): 90.00 90.00 90.00
Space group P4/mmm (No. 123)
Inequivalent atoms, fractional coordinates:
Gd1 0.000 0.000 0.204 (multiplicity 2)
Er1 0.500 0.500 0.500 (multiplicity 1)
Mn1 0.500 0.500 0.000 (multiplicity 1)

The value obtained for the offset from the most stable computed form is 0.0 kJ/mol of atoms. Its formation energy is 0.12 eV per atom. Its magnetization is 10.890 μB/f.u. As for the calculated total energy: -10.36 eV per atom.

=====

Record 2
Below is crystalline CuIrRu2 at its relaxed geometry, with properties calculated at the PBE level.

a b c (Å): 2.722 2.722 7.408
angles (deg): 90.00 90.00 90.00
Space group P4mm (No. 99)
Inequivalent atoms, fractional coordinates:
Cu1 0.000 0.000 0.000 (multiplicity 1)
Ir1 0.500 0.500 0.248 (multiplicity 1)
Ru1 0.000 0.000 0.503 (multiplicity 1)
Ru2 0.500 0.500 0.750 (multiplicity 1)

The value obtained for the offset from the most stable computed form is 0.3 kJ/mol of atoms. Its formation energy is 0.13 eV per atom. Its magnetization is 0.000 μB/f.u. As for the calculated total energy: -7.74 eV per atom.

=====

- What is the calculated total energy in the first record?
  -10.36 eV per atom